# 1
Entry from the Alexandria database: a geometry-optimized ZrTa2Br structure (PBE).

Lattice parameters (Å, degrees): 3.0975 5.0452 5.1355 90.00 90.45 90.00
With the nearest neighbours (Å) after each atom.
Space group P2/m (No. 10)
Asymmetric unit:
Zr 0.0000 0.0000 0.0000  4 Br 2.99-3.01, 4 Ta 3.02, 2 Zr 3.10
Ta 0.3598 0.5000 0.7632  2 Ta 2.58-2.85
Br 0.5000 0.0000 0.5000  4 Ta 2.90, 4 Zr 2.99-3.01, 2 Br 3.10

Distance to the lowest polymorph of the same formula ... 0.379 eV/atom
Size of the total moment ... 0.0 Bohr magnetons per cell
Calculated total energy ... -8.15 eV per atom
Formation energy (no corrections) ... 31.9 kJ/mol of atoms

# 2
Entry from the Alexandria database: a geometry-optimized ZrTa2Br structure (PBE).

Lattice parameters (Å, degrees): 3.0484 4.8016 5.5195 90.00 90.00 90.00
With the nearest neighbours (Å) after each atom.
Space group Pmmm (No. 47)
Asymmetric unit:
Zr 0.0000 0.0000 0.0000  2 Br 2.76, 2 Zr 3.05
Ta 0.5000 0.5000 0.2391  2 Ta 2.64-2.88
Br 0.0000 0.0000 0.5000  2 Zr 2.76, 2 Br 3.05

Distance to the lowest polymorph of the same formula ... 0.516 eV/atom
Size of the total moment ... 0.0 Bohr magnetons per cell
Calculated total energy ... -8.01 eV per atom
Formation energy (no corrections) ... 45.0 kJ/mol of atoms

# 3
Entry from the Alexandria database: a geometry-optimized Zr2TaBr structure (PBE).

Lattice parameters (Å, degrees): 3.6969 5.1513 8.9917 90.00 90.00 90.00
With the nearest neighbours (Å) after each atom.
Space group Cmmm (No. 65)
Asymmetric unit:
Zr 0.0000 0.0000 0.2421  2 Ta 2.86, 2 Br 2.97, 4 Zr 3.17
Ta 0.0000 0.5000 0.0000  4 Zr 2.86, 4 Ta 3.17
Br 0.0000 0.5000 0.5000  4 Zr 2.97, 4 Br 3.17

Distance to the lowest polymorph of the same formula ... 0.143 eV/atom
Size of the total moment ... 0.0 Bohr magnetons per cell
Calculated total energy ... -7.77 eV per atom
Formation energy (no corrections) ... -10.8 kJ/mol of atoms

# 4
Entry from the Alexandria database: a geometry-optimized Zr2TaBr structure (PBE).

Lattice parameters (Å, degrees): 6.3660 7.9958 3.2845 90.00 96.55 90.00
With the nearest neighbours (Å) after each atom.
Space group C2/m (No. 12)
Asymmetric unit:
Zr 0.2500 0.2500 0.0000  4 Ta 2.94-3.13, 4 Br 2.94-3.13, 4 Zr 3.18-3.28
Ta 0.0000 0.0000 0.5000  8 Zr 2.94-3.13, 2 Br 3.18, 2 Ta 3.28
Br 0.0000 0.5000 0.5000  8 Zr 2.94-3.13, 2 Ta 3.18, 2 Br 3.28

Distance to the lowest polymorph of the same formula ... 0.413 eV/atom
Size of the total moment ... 0.0 Bohr magnetons per cell
Calculated total energy ... -7.50 eV per atom
Formation energy (no corrections) ... 15.3 kJ/mol of atoms

# 5
Entry from the Alexandria database: a geometry-optimized ZrTa2Br structure (PBE).

Lattice parameters (Å, degrees): 10.6538 3.1985 4.7449 90.00 101.38 90.00
With the nearest neighbours (Å) after each atom.
Space group C2/m (No. 12)
Asymmetric unit:
Zr 0.0000 0.0000 0.0000  4 Br 2.86, 6 Ta 3.04-3.18, 2 Zr 3.20
Ta 0.2438 0.0000 0.7574  4 Ta 2.78-2.94, 1 Zr 3.04, 2 Br 3.09
Br 0.0000 0.5000 0.5000  4 Zr 2.86, 6 Ta 3.09-3.20, 2 Br 3.20

Distance to the lowest polymorph of the same formula ... 0.399 eV/atom
Size of the total moment ... 0.0 Bohr magnetons per cell
Calculated total energy ... -8.13 eV per atom
Formation energy (no corrections) ... 33.7 kJ/mol of atoms

# 6
Entry from the Alexandria database: a geometry-optimized ZrTa2Br structure (PBE).

Lattice parameters (Å, degrees): 3.1615 3.1615 28.2474 90.00 90.00 120.00
With the nearest neighbours (Å) after each atom.
Space group R-3m (No. 166, hexagonal axes)
Asymmetric unit:
Zr 0.0000 0.0000 0.0000  6 Ta 3.02, 6 Zr 3.16
Ta 0.0000 0.0000 0.2480  3 Br 2.93, 3 Zr 3.02, 6 Ta 3.16
Br 0.0000 0.0000 0.5000  6 Ta 2.93, 6 Br 3.16

Distance to the lowest polymorph of the same formula ... 0.416 eV/atom
Size of the total moment ... 0.0 Bohr magnetons per cell
Calculated total energy ... -8.11 eV per atom
Formation energy (no corrections) ... 35.4 kJ/mol of atoms

# 7
Entry from the Alexandria database: a geometry-optimized ZrTa2Br structure (PBE).

Lattice parameters (Å, degrees): 6.8217 6.8217 6.8217 90.00 90.00 90.00
With the nearest neighbours (Å) after each atom.
Space group F-43m (No. 216)
Asymmetric unit:
Zr 0.0000 0.0000 0.0000  4 Br 2.95, 4 Ta 2.95
Ta 0.0000 0.0000 0.5000  4 Ta 2.95, 4 Br 2.95
Ta 0.2500 0.2500 0.2500  4 Zr 2.95, 4 Ta 2.95
Br 0.2500 0.2500 0.7500  4 Ta 2.95, 4 Zr 2.95

Distance to the lowest polymorph of the same formula ... 0.688 eV/atom
Size of the total moment ... 0.0 Bohr magnetons per cell
Calculated total energy ... -7.84 eV per atom
Formation energy (no corrections) ... 61.6 kJ/mol of atoms

# 8
Entry from the Alexandria database: a geometry-optimized ZrTa2Br structure (PBE).

Lattice parameters (Å, degrees): 9.8951 3.0791 5.6125 90.00 110.26 90.00
With the nearest neighbours (Å) after each atom.
Space group Cm (No. 8)
Asymmetric unit:
Zr 0.0000 0.0000 0.0000  3 Br 2.71-2.78
Ta 0.1911 0.0000 0.6444  5 Ta 2.79-3.08, 2 Br 2.81
Ta 0.4404 0.0000 0.4778  5 Ta 2.79-3.08, 2 Br 2.82
Br 0.2464 0.5000 0.0860  3 Zr 2.71-2.78, 4 Ta 2.81-2.82

Distance to the lowest polymorph of the same formula ... 0.388 eV/atom
Size of the total moment ... 0.0 Bohr magnetons per cell
Calculated total energy ... -8.14 eV per atom
Formation energy (no corrections) ... 32.7 kJ/mol of atoms

# 9
Entry from the Alexandria database: a geometry-optimized ZrTa2Br structure (PBE).

Lattice parameters (Å, degrees): 3.3814 3.3814 8.1175 90.00 90.00 90.00
With the nearest neighbours (Å) after each atom.
Space group P4mm (No. 99)
Asymmetric unit:
Zr 0.0000 0.0000 0.0000  5 Ta 2.96-3.07, 4 Br 3.00
Ta 0.0000 0.0000 0.6220  4 Ta 2.73
Ta 0.5000 0.5000 0.7856  4 Ta 2.73, 4 Zr 2.96
Br 0.5000 0.5000 0.2242  4 Zr 3.00

Distance to the lowest polymorph of the same formula ... 0.100 eV/atom
Size of the total moment ... 0.0 Bohr magnetons per cell
Calculated total energy ... -8.43 eV per atom
Formation energy (no corrections) ... 4.9 kJ/mol of atoms

# 10
Entry from the Alexandria database: a geometry-optimized Zr2TaBr structure (PBE).

Lattice parameters (Å, degrees): 4.2324 4.2324 19.8115 90.00 90.00 90.00
With the nearest neighbours (Å) after each atom.
Space group I-42d (No. 122)
Asymmetric unit:
Zr 0.2487 0.2500 0.1250  2 Br 2.89, 2 Ta 2.90, 4 Zr 2.99-3.00
Ta 0.0000 0.0000 0.5000  4 Zr 2.90, 4 Br 2.99
Br 0.0000 0.0000 0.0000  4 Zr 2.89, 4 Ta 2.99

Distance to the lowest polymorph of the same formula ... 0.980 eV/atom
Size of the total moment ... 0.0 Bohr magnetons per cell
Calculated total energy ... -6.93 eV per atom
Formation energy (no corrections) ... 70.1 kJ/mol of atoms

# 11
Entry from the Alexandria database: a geometry-optimized Zr3TaBr structure (PBE).

Lattice parameters (Å, degrees): 5.2162 5.2162 5.2162 90.00 90.00 90.00
With the nearest neighbours (Å) after each atom.
Space group Pm-3m (No. 221)
Asymmetric unit:
Zr 0.0000 0.0000 0.5000  2 Ta 2.61
Ta 0.0000 0.0000 0.0000  6 Zr 2.61
Br 0.5000 0.5000 0.5000  12 Zr 3.69

Distance to the lowest polymorph of the same formula ... 0.298 eV/atom
Size of the total moment ... 0.2 Bohr magnetons per cell
Calculated total energy ... -6.90 eV per atom
Formation energy (no corrections) ... 89.7 kJ/mol of atoms

# 12
Entry from the Alexandria database: a geometry-optimized ZrTa2Br structure (PBE).

Lattice parameters (Å, degrees): 3.4486 5.1433 9.0287 90.00 90.00 90.00
With the nearest neighbours (Å) after each atom.
Space group Imm2 (No. 44)
Asymmetric unit:
Zr 0.0000 0.0000 0.0000  2 Br 2.88, 6 Ta 3.00-3.10
Ta 0.0000 0.0000 0.4896  2 Br 2.73, 2 Ta 2.76
Ta 0.0000 0.5000 0.2286  2 Ta 2.76, 2 Zr 3.00
Br 0.0000 0.5000 0.7556  2 Ta 2.73, 2 Zr 2.88

Distance to the lowest polymorph of the same formula ... 0.519 eV/atom
Size of the total moment ... 0.0 Bohr magnetons per cell
Calculated total energy ... -8.01 eV per atom
Formation energy (no corrections) ... 45.3 kJ/mol of atoms

# 13
Entry from the Alexandria database: a geometry-optimized ZrTa2Br structure (PBE).

Lattice parameters (Å, degrees): 3.2243 4.6197 10.6111 90.00 90.00 90.00
With the nearest neighbours (Å) after each atom.
Space group Immm (No. 71)
Asymmetric unit:
Zr 0.0000 0.0000 0.0000  4 Br 2.82, 4 Ta 3.11
Ta 0.0000 0.5000 0.2489  4 Ta 2.82, 2 Br 3.09, 2 Zr 3.11
Br 0.0000 0.0000 0.5000  4 Zr 2.82, 4 Ta 3.09

Distance to the lowest polymorph of the same formula ... 0.422 eV/atom
Size of the total moment ... 0.0 Bohr magnetons per cell
Calculated total energy ... -8.11 eV per atom
Formation energy (no corrections) ... 35.9 kJ/mol of atoms

# 14
Entry from the Alexandria database: a geometry-optimized ZrTa2Br2 structure (PBE).

Lattice parameters (Å, degrees): 3.9919 3.9919 13.2235 90.00 90.00 90.00
With the nearest neighbours (Å) after each atom.
Space group I4/mmm (No. 139)
Asymmetric unit:
Zr 0.0000 0.0000 0.0000  8 Br 3.18
Ta 0.0000 0.5000 0.2500  4 Br 2.72, 4 Ta 2.82
Br 0.0000 0.0000 0.3899  4 Ta 2.72, 1 Br 2.91

Distance to the lowest polymorph of the same formula ... 0.138 eV/atom
Size of the total moment ... 0.0 Bohr magnetons per cell
Calculated total energy ... -6.32 eV per atom
Formation energy (no corrections) ... 77.3 kJ/mol of atoms

# 15
Entry from the Alexandria database: a geometry-optimized Zr2TaBr structure (PBE).

Lattice parameters (Å, degrees): 3.4815 4.5888 5.2307 90.00 90.00 90.00
With the nearest neighbours (Å) after each atom.
Space group Pmmm (No. 47)
Asymmetric unit:
Zr 0.0000 0.0000 0.0000  4 Br 2.88, 4 Zr 3.14
Zr 0.5000 0.0000 0.5000  4 Ta 2.88, 4 Zr 3.14
Ta 0.0000 0.5000 0.5000  4 Zr 2.88, 4 Br 3.14
Br 0.5000 0.5000 0.0000  4 Zr 2.88, 4 Ta 3.14

Distance to the lowest polymorph of the same formula ... 0.642 eV/atom
Size of the total moment ... 0.0 Bohr magnetons per cell
Calculated total energy ... -7.27 eV per atom
Formation energy (no corrections) ... 37.4 kJ/mol of atoms